No. 1
This record from Alexandria via LeMat-Bulk describes crystalline Cr3SnCl at its relaxed geometry. The functional is GGA-PBE.

As for the raw formation energy: 3.6 eV per formula unit. Its symmetry is Pm-3m (221). The value obtained for the relative energy among the computed polymorphs is 0 meV per atom.

Cell and atoms, written as POSCAR:
```
Cr3SnCl
1.0
4.211 0.000 0.000
0.000 4.211 0.000
0.000 0.000 4.211
Cr Sn Cl
3 1 1
direct
0.000 0.500 0.000
0.000 0.000 0.500
0.500 0.000 0.000
0.500 0.500 0.500
0.000 0.000 0.000
```

No. 2
This record from Alexandria via LeMat-Bulk describes crystalline TbTlPt at its relaxed geometry. The functional is GGA-PBE.

Its symmetry is R-3m (166). As for the formation energy: -708 meV/atom.

Cell and atoms, written as POSCAR:
```
TbTlPt
1.0
5.000 0.000 0.000
2.500 4.330 0.000
2.500 1.443 7.119
Pt Tl Tb
2 2 2
direct
0.746 0.746 0.763
0.254 0.254 0.237
0.119 0.119 0.643
0.881 0.881 0.357
0.615 0.615 0.155
0.385 0.385 0.845
```

no.,N(E_F) (states/eV per atom)
1,0.53
2,0.23